(1)
## LiCrMo (PBE)

Data for an optimized crystal structure of LiCrMo.

Geometry as extended XYZ:
```
3
Lattice="0.000 2.908 2.908 2.908 0.000 2.908 2.908 2.908 0.000" Properties=species:S:1:pos:R:3 pbc="T T T"
Li 0.000 0.000 0.000
Cr 4.363 4.363 4.363
Mo 2.908 2.908 2.908
```

Properties
E above lowest polymorph in meV per atom: 719
DOS at the Fermi energy in states/eV/cell: 1.59
E_form in eV/atom: 1.111

(2)
## Li2CrMo (PBE)

Data for an optimized crystal structure of Li2CrMo.

Geometry as extended XYZ:
```
4
Lattice="2.452 -4.851 0.000 2.452 4.851 0.000 -0.822 0.000 2.393" Properties=species:S:1:pos:R:3 pbc="T T T"
Li 1.226 2.426 0.000
Li 1.226 -2.426 0.000
Cr -0.411 0.000 1.196
Mo 2.041 0.000 1.196
```

Properties
E above lowest polymorph in meV per atom: 149
DOS at the Fermi energy in states/eV/cell: 2.35
E_form in eV/atom: 0.438

(3)
## LiCrMo2 (PBE)

Data for an optimized crystal structure of LiCrMo2.

Geometry as extended XYZ:
```
4
Lattice="2.578 0.000 0.000 0.000 4.378 0.000 -0.718 0.000 4.987" Properties=species:S:1:pos:R:3 pbc="T T T"
Li 0.000 0.000 0.000
Cr -0.044 2.189 3.689
Mo 0.801 0.000 2.557
Mo 1.644 2.189 1.208
```

Properties
E above lowest polymorph in meV per atom: 73
DOS at the Fermi energy in states/eV/cell: 3.56
E_form in eV/atom: 0.339

(4)
## Li2CrMo (PBE)

Data for an optimized crystal structure of Li2CrMo.

Geometry as extended XYZ:
```
4
Lattice="3.097 0.000 0.000 0.000 3.097 0.000 0.000 0.000 6.623" Properties=species:S:1:pos:R:3 pbc="T T T"
Li 0.000 0.000 0.000
Li 1.549 1.549 1.826
Cr 1.549 1.549 4.820
Mo 0.000 0.000 3.734
```

Properties
E above lowest polymorph in meV per atom: 120
DOS at the Fermi energy in states/eV/cell: 3.63
E_form in eV/atom: 0.409

(5)
## Li2CrMo (PBE)

Data for an optimized crystal structure of Li2CrMo.

Geometry as extended XYZ:
```
4
Lattice="2.409 0.000 0.000 0.000 4.229 0.000 0.000 0.000 5.751" Properties=species:S:1:pos:R:3 pbc="T T T"
Li 0.000 0.000 0.000
Li 1.204 2.115 1.299
Cr 1.204 2.115 4.112
Mo 0.000 0.000 2.988
```

Properties
E above lowest polymorph in meV per atom: 166
DOS at the Fermi energy in states/eV/cell: 3.48
E_form in eV/atom: 0.455

(6)
## LiCrMo2 (PBE)

Data for an optimized crystal structure of LiCrMo2.

Geometry as extended XYZ:
```
4
Lattice="1.351 0.780 9.498 -1.351 0.780 9.498 0.000 -1.560 9.498" Properties=species:S:1:pos:R:3 pbc="T T T"
Li 0.000 0.000 0.000
Cr 0.000 0.000 14.247
Mo 0.000 0.000 6.982
Mo 0.000 0.000 21.512
```

Properties
E above lowest polymorph in meV per atom: 185
DOS at the Fermi energy in states/eV/cell: 3.04
E_form in eV/atom: 0.451

(7)
## LiCrMo2 (PBE)

Data for an optimized crystal structure of LiCrMo2.

Geometry as extended XYZ:
```
4
Lattice="0.000 3.010 3.010 3.010 0.000 3.010 3.010 3.010 0.000" Properties=species:S:1:pos:R:3 pbc="T T T"
Li 0.000 0.000 0.000
Cr 3.010 3.010 3.010
Mo 1.505 1.505 1.505
Mo 4.514 4.514 4.514
```

Properties
E above lowest polymorph in meV per atom: 144
DOS at the Fermi energy in states/eV/cell: 3.85
E_form in eV/atom: 0.410

(8)
## LiCrMo2 (PBE)

Data for an optimized crystal structure of LiCrMo2.

Geometry as extended XYZ:
```
4
Lattice="0.000 3.063 3.063 3.063 0.000 3.063 3.063 3.063 0.000" Properties=species:S:1:pos:R:3 pbc="T T T"
Li 0.000 0.000 0.000
Cr 1.531 1.531 1.531
Mo 3.063 3.063 3.063
Mo 4.594 4.594 4.594
```

Properties
E above lowest polymorph in meV per atom: 154
DOS at the Fermi energy in states/eV/cell: 4.55
E_form in eV/atom: 0.420

(9)
## LiCrMo (PBE)

Data for an optimized crystal structure of LiCrMo.

Geometry as extended XYZ:
```
3
Lattice="-1.252 1.252 6.834 1.252 -1.252 6.834 1.252 1.252 -6.834" Properties=species:S:1:pos:R:3 pbc="T T T"
Li 0.000 0.000 0.000
Cr 0.000 0.000 9.048
Mo 0.000 0.000 4.436
```

Properties
E above lowest polymorph in meV per atom: 143
DOS at the Fermi energy in states/eV/cell: 3.53
E_form in eV/atom: 0.535

(10)
## Li2CrMo (PBE)

Data for an optimized crystal structure of Li2CrMo.

Geometry as extended XYZ:
```
4
Lattice="-2.145 2.145 3.055 2.145 -2.145 3.055 2.145 2.145 -3.055" Properties=species:S:1:pos:R:3 pbc="T T T"
Li 0.000 0.000 0.000
Li 0.000 2.145 1.527
Cr 0.000 0.000 3.055
Mo 2.145 0.000 1.527
```

Properties
E above lowest polymorph in meV per atom: 298
DOS at the Fermi energy in states/eV/cell: 3.53
E_form in eV/atom: 0.587

(11)
## LiCrMo2 (PBE)

Data for an optimized crystal structure of LiCrMo2.

Geometry as extended XYZ:
```
4
Lattice="4.468 -1.260 0.000 4.468 1.260 0.000 -0.194 0.000 5.054" Properties=species:S:1:pos:R:3 pbc="T T T"
Li 0.000 0.000 0.000
Cr 2.131 0.000 3.816
Mo 4.375 0.000 2.581
Mo 6.626 0.000 1.211
```

Properties
E above lowest polymorph in meV per atom: 171
DOS at the Fermi energy in states/eV/cell: 2.54
E_form in eV/atom: 0.436

(12)
## LiCrMo2N4 (PBE)

Data for an optimized crystal structure of LiCrMo2N4.

Geometry as extended XYZ:
```
16
Lattice="6.794 0.000 0.000 0.000 5.490 0.000 0.000 0.000 5.078" Properties=species:S:1:pos:R:3 pbc="T T T"
Li 0.000 0.890 0.000
Li 3.397 4.600 2.539
Cr 0.000 4.475 2.842
Cr 3.397 1.015 0.303
Mo 1.629 1.933 2.432
Mo 1.768 3.557 4.971
Mo 5.026 3.557 4.971
Mo 5.165 1.933 2.432
N 0.000 0.879 2.215
N 0.000 4.408 4.683
N 1.445 3.797 1.873
N 1.952 1.693 4.412
N 3.397 1.082 2.144
N 3.397 4.611 4.754
N 4.843 1.693 4.412
N 5.349 3.797 1.873
```

Properties
DOS at the Fermi energy in states/eV/cell: 8.27
Uncorrected energy in eV per atom: -8.658